Entry 1:
The following is a DFT calculation (meta-GGA SCAN) of a crystal of TaMn4Ir relaxed with PBEsol.

Formation energy from the elements in meV per atom: -157
Density of states at the Fermi level in states/eV/cell: 8.68

CIF file:
```
data_TaMn4Ir
_chemical_formula_sum 'Ta4 Mn16 Ir4'
_cell_length_a 6.606
_cell_length_b 6.606
_cell_length_c 6.606
_cell_angle_alpha 90.00
_cell_angle_beta 90.00
_cell_angle_gamma 90.00
_symmetry_space_group_name_H-M 'F -4 3 m'
_symmetry_Int_Tables_number 216
_symmetry_space_group_name_Hall 'F -4 2 3'
loop_
_atom_site_label
_atom_site_type_symbol
_atom_site_fract_x
_atom_site_fract_y
_atom_site_fract_z
Ta1 Ta 0.000 0.000 0.000
Mn1 Mn 0.123 0.123 0.623
Ir1 Ir 0.250 0.250 0.250
```



Entry 2:
The following is a DFT calculation (meta-GGA SCAN) of a crystal of TaMn2Ir relaxed with PBEsol.

Formation energy from the elements in meV per atom: -497
Density of states at the Fermi level in states/eV/cell: 5.06

CIF file:
```
data_TaMn2Ir
_chemical_formula_sum 'Ta2 Mn4 Ir2'
_cell_length_a 3.761
_cell_length_b 3.761
_cell_length_c 7.717
_cell_angle_alpha 90.00
_cell_angle_beta 90.00
_cell_angle_gamma 90.00
_symmetry_space_group_name_H-M 'I -4 m 2'
_symmetry_Int_Tables_number 119
_symmetry_space_group_name_Hall 'I -4 -2'
loop_
_atom_site_label
_atom_site_type_symbol
_atom_site_fract_x
_atom_site_fract_y
_atom_site_fract_z
Ta1 Ta 0.000 0.000 0.000
Mn1 Mn 0.000 0.000 0.500
Mn2 Mn 0.000 0.500 0.750
Ir1 Ir 0.000 0.500 0.250
```



Entry 3:
The following is a DFT calculation (meta-GGA SCAN) of a crystal of TaMnIr2 relaxed with PBEsol.

Formation energy from the elements in meV per atom: -613
Density of states at the Fermi level in states/eV/cell: 5.77

CIF file:
```
data_TaMnIr2
_chemical_formula_sum 'Ta2 Mn2 Ir4'
_cell_length_a 3.805
_cell_length_b 3.805
_cell_length_c 7.868
_cell_angle_alpha 90.00
_cell_angle_beta 90.00
_cell_angle_gamma 90.00
_symmetry_space_group_name_H-M 'I -4 m 2'
_symmetry_Int_Tables_number 119
_symmetry_space_group_name_Hall 'I -4 -2'
loop_
_atom_site_label
_atom_site_type_symbol
_atom_site_fract_x
_atom_site_fract_y
_atom_site_fract_z
Ta1 Ta 0.000 0.000 0.000
Mn1 Mn 0.000 0.500 0.250
Ir1 Ir 0.000 0.000 0.500
Ir2 Ir 0.000 0.500 0.750
```



Entry 4:
The following is a DFT calculation (meta-GGA SCAN) of a crystal of Ta2MnIr relaxed with PBEsol.

Formation energy from the elements in meV per atom: -407
Density of states at the Fermi level in states/eV/cell: 4.94

CIF file:
```
data_Ta2MnIr
_chemical_formula_sum 'Ta4 Mn2 Ir2'
_cell_length_a 3.494
_cell_length_b 4.271
_cell_length_c 8.155
_cell_angle_alpha 90.00
_cell_angle_beta 90.00
_cell_angle_gamma 90.00
_symmetry_space_group_name_H-M 'I m m m'
_symmetry_Int_Tables_number 71
_symmetry_space_group_name_Hall '-I 2 2'
loop_
_atom_site_label
_atom_site_type_symbol
_atom_site_fract_x
_atom_site_fract_y
_atom_site_fract_z
Ta1 Ta 0.000 0.000 0.250
Mn1 Mn 0.000 0.500 0.000
Ir1 Ir 0.000 0.500 0.500
```